1.
Material: La4ZrIn
Method: DFT, PBE
State: optimized geometry

a b c (Å): 6.5024 6.5024 6.5024
angles (deg): 60.00 60.00 60.00
Last column: nearest neighbours and their distance in Å.
Fractional positions:
Zr 0.7500 0.7500 0.7500  12 La 3.81, 4 In 3.98
La 0.3757 0.3757 0.3757  6 La 3.23-3.27
La 0.3757 0.8729 0.3757  6 La 3.23-3.27
La 0.8729 0.3757 0.3757  6 La 3.23-3.27
La 0.3757 0.3757 0.8729  6 La 3.23-3.27
In 0.0000 0.0000 0.0000  12 La 3.81, 4 Zr 3.98

Values from the calculation:
N(E_F): 8.13 states/eV/cell
calculated total energy: -29.0 eV per cell
energy of formation from the pure elements: 0.33 eV per atom

***

2.
Material: PmNdCuGe
Method: DFT, PBE
State: optimized geometry

a b c (Å): 5.1297 5.1297 5.1297
angles (deg): 60.00 60.00 60.00
Last column: nearest neighbours and their distance in Å.
Fractional positions:
Pm 0.5000 0.5000 0.5000  4 Cu 3.14, 4 Ge 3.14
Ge 0.2500 0.2500 0.2500  4 Pm 3.14, 4 Nd 3.14
Nd 0.0000 0.0000 0.0000  4 Ge 3.14, 4 Cu 3.14
Cu 0.7500 0.7500 0.7500  4 Nd 3.14, 4 Pm 3.14

Values from the calculation:
N(E_F): 3.77 states/eV/cell
calculated total energy: -20.1 eV per cell
energy of formation from the pure elements: -0.46 eV per atom

***

3.
Material: CaTcPdSe2
Method: DFT, PBE
State: optimized geometry

a b c (Å): 4.8947 4.9246 4.8947
angles (deg): 90.00 90.00 90.00
Last column: nearest neighbours and their distance in Å.
Fractional positions:
Se 0.0000 0.0000 0.5000  2 Tc 2.45
Se 0.5000 0.0000 0.0000  2 Tc 2.45
Tc 0.0000 0.0000 0.0000  4 Se 2.45, 2 Pd 2.46
Ca 0.5000 0.5000 0.5000  4 Pd 3.46, 8 Se 3.47
Pd 0.0000 0.5000 0.0000  2 Tc 2.46

Values from the calculation:
N(E_F): 4.37 states/eV/cell
calculated total energy: -25.7 eV per cell
formation energy from raw total energies: -0.2338 eV/atom